(1)
Below is a geometry-optimized As2PbBr structure, with properties calculated at the PBE-GGA level.

Summary:
Symmetry   P4/mmm (123)
Formation energy from raw total energies   0.085 eV per atom
VASP energy   -14.34 eV per cell

a = 4.3795 Å, b = 4.3795 Å, c = 6.2686 Å
α = 90.00°, β = 90.00°, γ = 90.00°
Fractional coordinates of all 4 atoms:
As 0.0000 0.0000 0.1841
As 0.0000 0.0000 0.8159
Pb 0.5000 0.5000 0.0000
Br 0.5000 0.5000 0.5000

***

(2)
Below is a geometry-optimized AsPbBr2 structure, with properties calculated at the PBE-GGA level.

Summary:
Symmetry   Immm (71)
Formation energy from raw total energies   -0.057 eV per atom
VASP energy   -11.93 eV per cell

a = 6.0672 Å, b = 6.0672 Å, c = 6.0672 Å
α = 145.64°, β = 119.75°, γ = 71.23°
Fractional coordinates of all 4 atoms:
As 0.0000 0.0000 0.0000
Pb 0.5000 0.5000 0.0000
Br 0.2252 0.7252 0.5000
Br 0.7748 0.2748 0.5000

***

(3)
Below is a geometry-optimized As2PbBr structure, with properties calculated at the PBE-GGA level.

Summary:
Symmetry   C2/m (12)
Formation energy from raw total energies   0.159 eV per atom
VASP energy   -14.05 eV per cell

a = 5.1865 Å, b = 5.1865 Å, c = 5.1778 Å
α = 108.82°, β = 108.82°, γ = 110.68°
Fractional coordinates of all 4 atoms:
As 0.0000 0.5000 0.0000
As 0.5000 0.0000 0.0000
Pb 0.0000 0.0000 0.5000
Br 0.5000 0.5000 0.5000